No. 1
SiHg2Au (PBE-GGA, relaxed); ρ = 12.71 g/cm3; spin magnetization = 0.00 Bohr magnetons per cell; ΔE_f (raw) = 0.376 eV per atom; total DFT energy (no corrections) = -0.143 Ry/atom
1.0
-2.136 2.136 4.487
2.136 -2.136 4.487
2.136 2.136 -4.487
Si Hg Au
1 2 1
Cartesian
0.000 0.000 0.000
2.136 0.000 2.243
0.000 2.136 2.243
0.000 0.000 4.487

=====

No. 2
Si2HgAu2 (PBE-GGA, relaxed); ρ = 11.38 g/cm3; spin magnetization = 0.00 Bohr magnetons per cell; ΔE_f (raw) = 0.294 eV per atom; total DFT energy (no corrections) = -0.239 Ry/atom
1.0
7.693 0.000 0.000
0.000 7.693 0.000
0.000 0.000 3.210
Si Hg Au
4 2 4
Cartesian
1.365 2.481 0.000
2.481 6.328 0.000
5.211 1.365 0.000
6.328 5.211 0.000
0.000 0.000 0.000
3.846 3.846 0.000
1.000 4.846 1.605
2.846 1.000 1.605
4.846 6.693 1.605
6.693 2.846 1.605

=====

No. 3
SiHg2Au (PBE-GGA, relaxed); ρ = 11.41 g/cm3; spin magnetization = 0.00 Bohr magnetons per cell; ΔE_f (raw) = 0.174 eV per atom; total DFT energy (no corrections) = -0.158 Ry/atom
1.0
3.050 0.000 0.000
0.000 3.529 0.000
-1.348 0.000 8.466
Si Hg Au
1 2 1
Cartesian
0.000 0.000 0.000
0.009 1.764 2.304
0.111 0.000 4.826
0.174 1.764 7.295

=====

No. 4
SiHgAu (PBE-GGA, relaxed); ρ = 11.20 g/cm3; spin magnetization = 0.00 Bohr magnetons per cell; ΔE_f (raw) = 0.270 eV per atom; total DFT energy (no corrections) = -0.201 Ry/atom
1.0
4.264 0.000 0.000
-2.132 3.693 0.000
0.000 0.000 4.008
Si Hg Au
1 1 1
Cartesian
0.000 0.000 0.000
0.000 2.462 2.001
2.132 1.231 4.000

=====

No. 5
SiHg2Au (PBE-GGA, relaxed); ρ = 12.00 g/cm3; spin magnetization = 0.00 Bohr magnetons per cell; ΔE_f (raw) = 0.324 eV per atom; total DFT energy (no corrections) = -0.147 Ry/atom
1.0
2.945 -4.943 0.000
2.945 4.943 0.000
-0.057 0.000 2.977
Si Hg Au
1 2 1
Cartesian
0.000 0.000 0.000
1.473 2.471 0.000
1.473 -2.471 0.000
2.945 0.000 0.000

=====

No. 6
SiHg2Au (PBE-GGA, relaxed); ρ = 11.61 g/cm3; spin magnetization = 0.00 Bohr magnetons per cell; ΔE_f (raw) = 0.156 eV per atom; total DFT energy (no corrections) = -0.160 Ry/atom
1.0
1.845 1.065 7.595
-1.845 1.065 7.595
0.000 -2.131 7.595
Si Hg Au
1 2 1
Cartesian
0.000 0.000 0.000
0.000 0.000 5.630
0.000 0.000 10.996
0.000 0.000 16.515

=====

No. 7
SiHg2Au (PBE-GGA, relaxed); ρ = 11.98 g/cm3; spin magnetization = 0.00 Bohr magnetons per cell; ΔE_f (raw) = 0.222 eV per atom; total DFT energy (no corrections) = -0.155 Ry/atom
1.0
3.240 0.000 0.000
0.000 3.240 0.000
0.000 0.000 8.270
Si Hg Au
1 2 1
Cartesian
0.000 0.000 0.000
0.000 0.000 3.582
1.620 1.620 6.008
1.620 1.620 1.282

=====

No. 8
SiHg2Au (PBE-GGA, relaxed); ρ = 12.38 g/cm3; spin magnetization = 0.00 Bohr magnetons per cell; ΔE_f (raw) = 0.359 eV per atom; total DFT energy (no corrections) = -0.145 Ry/atom
1.0
2.915 0.000 0.000
0.000 5.199 0.000
0.000 0.000 5.542
Si Hg Au
1 2 1
Cartesian
0.000 0.000 0.000
0.000 2.600 2.771
1.457 0.000 2.771
1.457 2.600 0.000